{
  "formula": "Li2HPdRh",
  "functional": "PBE",
  "state": "relaxed",
  "e_above_lowest_polymorph_mev_per_atom": 0.0,
  "space_group": "No. 123",
  "cell": [[3.9742, 0.0000, 0.0000], [0.0000, 3.9742, 0.0000], [0.0000, 0.0000, 3.5339]],
  "species": ["Rh", "H", "Pd", "Li", "Li"],
  "frac_coords": [[0.0000, 0.0000, 0.5000], [0.0000, 0.0000, 0.0000], [0.5000, 0.5000, 0.5000], [0.0000, 0.5000, 0.0000], [0.5000, 0.0000, 0.0000]]
}


{
  "formula": "PaSn2Cl8",
  "functional": "PBE",
  "state": "relaxed",
  "space_group": "No. 12",
  "formation_energy_uncorrected_mev_per_atom": -1360,
  "cell": [[-0.7706, 6.5510, -2.4097], [-6.8819, -2.1477, -3.6382], [-3.6688, -1.7334, 6.6939]],
  "species": ["Cl", "Cl", "Cl", "Cl", "Cl", "Cl", "Cl", "Cl", "Pa", "Sn", "Sn"],
  "frac_coords": [[0.8328, 0.8810, 0.6656], [0.3127, 0.7615, 0.1273], [0.6873, 0.2385, 0.8727], [0.1672, 0.1190, 0.3344], [0.8146, 0.7615, 0.1273], [0.1854, 0.2385, 0.8727], [0.6997, 0.3982, 0.3994], [0.3003, 0.6018, 0.6006], [0.0000, 0.0000, 0.0000], [0.1357, 0.5204, 0.2713], [0.8643, 0.4796, 0.7287]]
}


{
  "formula": "YSc5Pd4",
  "functional": "PBE",
  "state": "relaxed",
  "space_group": "No. 123",
  "delta_e_f_mev_per_atom": -697,
  "cell": [[3.3154, 0.0000, 0.0000], [0.0000, 3.3154, 0.0000], [0.0000, 0.0000, 18.3261]],
  "species": ["Sc", "Sc", "Sc", "Sc", "Sc", "Pd", "Pd", "Pd", "Pd", "Y"],
  "frac_coords": [[0.5000, 0.5000, 0.3179], [0.5000, 0.5000, 0.1384], [0.5000, 0.5000, 0.8616], [0.5000, 0.5000, 0.6821], [0.5000, 0.5000, 0.5000], [0.0000, 0.0000, 0.2284], [0.0000, 0.0000, 0.7716], [0.0000, 0.0000, 0.5912], [0.0000, 0.0000, 0.4088], [0.0000, 0.0000, 0.0000]]
}


{
  "formula": "Pr2Pt3Rh",
  "functional": "PBE",
  "state": "relaxed",
  "space_group": "No. 166",
  "delta_e_f_mev_per_atom": -947,
  "cell": [[4.8671, -0.1497, -2.5598], [-3.0958, 4.5417, -0.2291], [-0.2005, 0.1484, 5.5216]],
  "species": ["Pt", "Pt", "Pt", "Pr", "Pr", "Rh"],
  "frac_coords": [[0.0000, 0.0000, 0.5000], [0.5000, 0.5000, 0.5000], [0.5000, 0.0000, 0.5000], [0.2508, 0.6256, 0.8763], [0.7492, 0.3744, 0.1237], [0.0000, 0.0000, 0.0000]]
}


Please write out number 4 again, unchanged.
{
  "formula": "Pr2Pt3Rh",
  "functional": "PBE",
  "state": "relaxed",
  "space_group": "No. 166",
  "delta_e_f_mev_per_atom": -947,
  "cell": [[4.8671, -0.1497, -2.5598], [-3.0958, 4.5417, -0.2291], [-0.2005, 0.1484, 5.5216]],
  "species": ["Pt", "Pt", "Pt", "Pr", "Pr", "Rh"],
  "frac_coords": [[0.0000, 0.0000, 0.5000], [0.5000, 0.5000, 0.5000], [0.5000, 0.0000, 0.5000], [0.2508, 0.6256, 0.8763], [0.7492, 0.3744, 0.1237], [0.0000, 0.0000, 0.0000]]
}